Entry 1:
# ZrReP2 | the Alexandria database | GGA-PBE | optimized geometry
data_ZrReP2
_symmetry_space_group_name_H-M 'F m -3 m'
_symmetry_Int_Tables_number 225
_symmetry_space_group_name_Hall '-F 4 2 3'
_cell_length_a 6.212
_cell_length_b 6.212
_cell_length_c 6.212
_cell_angle_alpha 90.00
_cell_angle_beta 90.00
_cell_angle_gamma 90.00
loop_
_atom_site_label
_atom_site_type_symbol
_atom_site_fract_x
_atom_site_fract_y
_atom_site_fract_z
_atom_site_occupancy
Zr1 Zr 0.000 0.000 0.000 1
Re1 Re 0.000 0.000 0.500 1
P1 P 0.250 0.250 0.250 1
# energy above the most stable polymorph in this dataset	0.3113	eV per atom
# magnetization	0.0	μB/cell
# ΔE_f	-0.419	eV per atom


Entry 2:
# Y2AgAu | the Alexandria database | GGA-PBE | optimized geometry
data_Y2AgAu
_symmetry_space_group_name_H-M 'P 1 m 1'
_symmetry_Int_Tables_number 6
_symmetry_space_group_name_Hall 'P -2y'
_cell_length_a 3.723
_cell_length_b 4.761
_cell_length_c 5.741
_cell_angle_alpha 90.00
_cell_angle_beta 105.62
_cell_angle_gamma 90.00
loop_
_atom_site_label
_atom_site_type_symbol
_atom_site_fract_x
_atom_site_fract_y
_atom_site_fract_z
_atom_site_occupancy
Y1 Y 0.000 0.000 0.000 1
Y2 Y 0.250 0.500 0.558 1
Ag1 Ag 0.550 0.500 0.110 1
Au1 Au 0.703 0.000 0.449 1
# magnetization	0.0	μB/cell
# ΔE_f	-0.593	eV per atom


Entry 3:
# Eu2As2O5 | the Alexandria database | GGA-PBE | optimized geometry
data_Eu2As2O5
_symmetry_space_group_name_H-M 'P 4/m m m'
_symmetry_Int_Tables_number 123
_symmetry_space_group_name_Hall '-P 4 2'
_cell_length_a 4.152
_cell_length_b 4.152
_cell_length_c 7.221
_cell_angle_alpha 90.00
_cell_angle_beta 90.00
_cell_angle_gamma 90.00
loop_
_atom_site_label
_atom_site_type_symbol
_atom_site_fract_x
_atom_site_fract_y
_atom_site_fract_z
_atom_site_occupancy
Eu1 Eu 0.000 0.000 0.000 1
Eu2 Eu 0.000 0.000 0.500 1
As1 As 0.500 0.500 0.231 1
O1 O 0.000 0.500 0.231 1
O2 O 0.500 0.500 0.500 1
# energy relative to the elements, uncorrected	-1584	kJ/mol of formula units
# magnetization	13.7	μB/cell


Entry 4:
# NaTiSb2 | the Alexandria database | GGA-PBE | optimized geometry
data_NaTiSb2
_symmetry_space_group_name_H-M 'C 1 2/m 1'
_symmetry_Int_Tables_number 12
_symmetry_space_group_name_Hall '-C 2y'
_cell_length_a 6.397
_cell_length_b 3.696
_cell_length_c 8.844
_cell_angle_alpha 90.00
_cell_angle_beta 104.03
_cell_angle_gamma 90.00
loop_
_atom_site_label
_atom_site_type_symbol
_atom_site_fract_x
_atom_site_fract_y
_atom_site_fract_z
_atom_site_occupancy
Na1 Na 0.000 0.000 0.000 1
Ti1 Ti 0.000 0.500 0.500 1
Sb1 Sb 0.238 0.000 0.714 1
# energy above the most stable polymorph in this dataset	0.0000	eV per atom
# energy relative to the elements, uncorrected	-127	kJ/mol of formula units
# magnetization	0.0	μB/cell


> What is the formula in the fourth record?

NaTiSb2